# 1
A plane-wave DFT calculation with PBE was carried out for YSc5 after structural relaxation.

Geometry as extended XYZ:
```
6
Lattice="-2.610 -1.659 4.949 3.200 -1.161 4.740 -0.180 4.073 4.711" Properties=species:S:1:pos:R:3 pbc="T T T"
Y 0.205 0.627 7.200
Sc 1.052 -0.382 1.558
Sc -1.752 -1.113 3.322
Sc 1.290 -1.324 4.808
Sc 0.400 -0.293 10.435
Sc 0.010 1.546 3.964
```



# 2
A plane-wave DFT calculation with PBE was carried out for YSc5 after structural relaxation.

Geometry as extended XYZ:
```
6
Lattice="-1.839 0.041 -2.831 -4.110 -0.330 4.678 -1.748 7.532 1.245" Properties=species:S:1:pos:R:3 pbc="T T T"
Sc -7.656 7.196 3.066
Sc -5.188 5.151 3.445
Sc -3.758 4.908 0.500
Sc -1.232 2.946 0.844
Sc -3.991 2.350 2.627
Y -3.233 0.330 0.092
```



# 3
A plane-wave DFT calculation with PBE was carried out for Y2Sc after structural relaxation.

Geometry as extended XYZ:
```
6
Lattice="-2.973 -5.627 0.196 -2.597 5.699 1.148 1.462 0.471 -6.179" Properties=species:S:1:pos:R:3 pbc="T T T"
Y -2.954 2.969 -0.186
Y -3.484 -0.838 -2.176
Y -0.624 1.381 -2.659
Y -1.153 -2.426 -4.649
Sc -4.178 0.054 1.008
Sc -1.393 0.018 0.336
```



| no. | magnetization (μB per cell) | ΔE_f (eV per atom) | polymorph energy (0 for the lowest one) (meV per atom) |
| --- | --- | --- | --- |
| 1 | 0.00 | 0.019 | 2 |
| 2 | 0.00 | 0.017 | 0 |
| 3 | 0.12 | 0.196 | 175 |